[1]
Below is an optimized crystal structure of Ho3ReO8, with properties calculated at the GGA-PBEsol level.

Calculated values
SG: P2_1/c, No. 14
Offset from the most stable computed form, meV per atom: 0

Geometry as POSCAR:
```
Ho3ReO8
1.0
7.1008 0.0000 0.0000
0.0000 5.9613 0.0000
-5.1299 0.0000 13.2417
Ho Re O
12 4 32
Direct
0.0933 0.2421 0.2025
0.0933 0.2579 0.7025
0.1630 0.1973 0.4457
0.1630 0.3027 0.9457
0.3944 0.6859 0.3335
0.3944 0.8141 0.8335
0.6056 0.1859 0.1665
0.6056 0.3141 0.6665
0.8370 0.6973 0.0543
0.8370 0.8027 0.5543
0.9067 0.7421 0.2975
0.9067 0.7579 0.7975
0.3205 0.7468 0.0902
0.3205 0.7532 0.5902
0.6795 0.2468 0.4098
0.6795 0.2532 0.9098
0.0817 0.6930 0.9780
0.0817 0.8070 0.4780
0.1469 0.0299 0.8430
0.1469 0.4701 0.3430
0.1648 0.6464 0.1712
0.1648 0.8536 0.6712
0.1895 0.5302 0.8269
0.1895 0.9698 0.3269
0.2477 0.0499 0.0961
0.2477 0.4501 0.5961
0.3829 0.0536 0.5890
0.3829 0.4464 0.0890
0.4630 0.2014 0.7846
0.4630 0.2986 0.2846
0.4807 0.6947 0.5183
0.4807 0.8053 0.0183
0.5193 0.1947 0.9817
0.5193 0.3053 0.4817
0.5370 0.7014 0.7154
0.5370 0.7986 0.2154
0.6171 0.5536 0.9110
0.6171 0.9464 0.4110
0.7523 0.5499 0.4039
0.7523 0.9501 0.9039
0.8105 0.0302 0.6731
0.8105 0.4698 0.1731
0.8352 0.1464 0.3288
0.8352 0.3536 0.8288
0.8531 0.5299 0.6570
0.8531 0.9701 0.1570
0.9183 0.1930 0.5220
0.9183 0.3070 0.0220
```

=====

[2]
Below is an optimized crystal structure of Sr2HoReO6, with properties calculated at the GGA-PBEsol level.

Calculated values
SG: Fm-3m, No. 225

Geometry as POSCAR:
```
Sr2HoReO6
1.0
0.0000 4.1062 4.1062
4.1062 0.0000 4.1062
4.1062 4.1062 0.0000
Sr Ho Re O
2 1 1 6
Direct
0.2500 0.2500 0.2500
0.7500 0.7500 0.7500
0.0000 0.0000 0.0000
0.5000 0.5000 0.5000
0.2636 0.2636 0.7364
0.2636 0.7364 0.2636
0.2636 0.7364 0.7364
0.7364 0.2636 0.2636
0.7364 0.2636 0.7364
0.7364 0.7364 0.2636
```

=====

[3]
Below is an optimized crystal structure of HoRhO3, with properties calculated at the GGA-PBEsol level.

Calculated values
SG: Pnma, No. 62

Geometry as POSCAR:
```
HoRhO3
1.0
5.7415 0.0000 0.0000
0.0000 7.4773 0.0000
0.0000 0.0000 5.1403
Ho Rh O
4 4 12
Direct
0.0882 0.2500 0.0341
0.4118 0.7500 0.5341
0.5882 0.2500 0.4659
0.9118 0.7500 0.9659
0.0000 0.0000 0.5000
0.0000 0.5000 0.5000
0.5000 0.0000 0.0000
0.5000 0.5000 0.0000
0.0527 0.7500 0.3628
0.1893 0.5614 0.8272
0.1893 0.9386 0.8272
0.3107 0.0614 0.3272
0.3107 0.4386 0.3272
0.4473 0.2500 0.8628
0.5527 0.7500 0.1372
0.6893 0.5614 0.6728
0.6893 0.9386 0.6728
0.8107 0.0614 0.1728
0.8107 0.4386 0.1728
0.9473 0.2500 0.6372
```

=====

[4]
Below is an optimized crystal structure of Ho2Ru2O7, with properties calculated at the GGA-PBEsol level.

Calculated values
SG: Fd-3m, No. 227

Geometry as POSCAR:
```
Ho2Ru2O7
1.0
0.0000 5.0171 5.0171
5.0171 0.0000 5.0171
5.0171 5.0171 0.0000
Ho Ru O
4 4 14
Direct
0.0000 0.0000 0.0000
0.0000 0.0000 0.5000
0.0000 0.5000 0.0000
0.5000 0.0000 0.0000
0.0000 0.5000 0.5000
0.5000 0.0000 0.5000
0.5000 0.5000 0.0000
0.5000 0.5000 0.5000
0.1250 0.1250 0.1250
0.1645 0.1645 0.5855
0.1645 0.5855 0.1645
0.1645 0.5855 0.5855
0.4145 0.4145 0.8355
0.4145 0.8355 0.4145
0.4145 0.8355 0.8355
0.5855 0.1645 0.1645
0.5855 0.1645 0.5855
0.5855 0.5855 0.1645
0.8355 0.4145 0.4145
0.8355 0.4145 0.8355
0.8355 0.8355 0.4145
0.8750 0.8750 0.8750
```

=====

[5]
Below is an optimized crystal structure of Sr2HoRuO6, with properties calculated at the GGA-PBEsol level.

Calculated values
SG: P2_1/c, No. 14

Geometry as POSCAR:
```
Sr2HoRuO6
1.0
5.7251 0.0000 0.0000
0.0000 5.7715 0.0000
-5.6715 0.0000 8.1118
Sr Ho Ru O
4 2 2 12
Direct
0.2411 0.0350 0.2492
0.2411 0.4650 0.7492
0.7589 0.5350 0.2508
0.7589 0.9650 0.7508
0.5000 0.0000 0.0000
0.5000 0.5000 0.5000
0.0000 0.0000 0.5000
0.0000 0.5000 0.0000
0.1591 0.2294 0.9607
0.1591 0.2706 0.4607
0.2315 0.7011 0.9625
0.2315 0.7989 0.4625
0.3064 0.0173 0.7343
0.3064 0.4827 0.2343
0.6936 0.5173 0.7657
0.6936 0.9827 0.2657
0.7685 0.2011 0.5375
0.7685 0.2989 0.0375
0.8409 0.7294 0.5393
0.8409 0.7706 0.0393
```

=====

[6]
Below is an optimized crystal structure of Ho2SO2, with properties calculated at the GGA-PBEsol level.

Calculated values
SG: P-3m1, No. 164

Geometry as POSCAR:
```
Ho2SO2
1.0
3.7370 0.0000 0.0000
-1.8685 3.2364 0.0000
0.0000 0.0000 6.4956
Ho S O
2 1 2
Direct
0.3333 0.6667 0.2824
0.6667 0.3333 0.7176
0.0000 0.0000 0.0000
0.3333 0.6667 0.6296
0.6667 0.3333 0.3704
```

=====

[7]
Below is an optimized crystal structure of Ho2SO2, with properties calculated at the GGA-PBEsol level.

Calculated values
SG: P6_3/mmc, No. 194

Geometry as POSCAR:
```
Ho2SO2
1.0
3.7267 0.0000 0.0000
-1.8634 3.2274 0.0000
0.0000 0.0000 13.1246
Ho S O
4 2 4
Direct
0.3333 0.6667 0.1079
0.3333 0.6667 0.3921
0.6667 0.3333 0.6079
0.6667 0.3333 0.8921
0.0000 0.0000 0.2500
0.0000 0.0000 0.7500
0.3333 0.6667 0.5647
0.3333 0.6667 0.9353
0.6667 0.3333 0.0647
0.6667 0.3333 0.4353
```

=====

[8]
Below is an optimized crystal structure of Ho3SbO7, with properties calculated at the GGA-PBEsol level.

Calculated values
SG: Cmcm, No. 63

Geometry as POSCAR:
```
Ho3SbO7
1.0
3.6765 -5.2004 0.0000
3.6765 5.2004 0.0000
0.0000 0.0000 7.4092
Ho Sb O
6 2 14
Direct
0.0000 0.0000 0.0000
0.0000 0.0000 0.5000
0.0324 0.5003 0.7500
0.5003 0.0324 0.2500
0.4997 0.9676 0.7500
0.9676 0.4997 0.2500
0.5000 0.5000 0.0000
0.5000 0.5000 0.5000
0.1302 0.8698 0.2500
0.1368 0.8632 0.7500
0.1751 0.4255 0.0302
0.1751 0.4255 0.4698
0.4255 0.1751 0.5302
0.4255 0.1751 0.9698
0.4272 0.5728 0.7500
0.5728 0.4272 0.2500
0.5745 0.8249 0.0302
0.5745 0.8249 0.4698
0.8249 0.5745 0.5302
0.8249 0.5745 0.9698
0.8632 0.1368 0.2500
0.8698 0.1302 0.7500
```

=====

Short version: magnetization = 0.000; 0.091; 0.000; 0.062; 0.300; 0.000; 0.000; 0.000 μB per atom, in the order given.
Short version: formation energy (no corrections) = -2.916; -2.643; -2.258; -2.231; -2.510; -3.294; -3.284; -3.052 eV per atom, in the order given.